VASP calculation (GGA-PBE) on TbPm4Nd15 after structural relaxation.

Values from the calculation:
Formation energy (eV per atom): 0.01
Magnetic moment (μB per atom): 0.000
Electronic total energy (eV per atom): -4.744

abc: 5.1952 5.1952 25.9146
angles: 90.00 90.00 90.00
Last column: nearest neighbours and their distance in Å.
Fractional positions:
Tb  0.0000  0.0000  0.0000  12 Nd 3.65-3.67
Pm  0.0000  0.0000  0.1993  12 Nd 3.67
Pm  0.0000  0.0000  0.3997  12 Nd 3.67
Pm  0.0000  0.0000  0.6003  12 Nd 3.67
Pm  0.0000  0.0000  0.8007  12 Nd 3.67
Nd  0.0000  0.5000  0.0991  2 Tb 3.65, 8 Nd 3.65-3.67, 2 Pm 3.67
Nd  0.0000  0.5000  0.2995  4 Pm 3.67, 8 Nd 3.67-3.68
Nd  0.0000  0.5000  0.5000  8 Nd 3.67, 4 Pm 3.67
Nd  0.0000  0.5000  0.7005  4 Pm 3.67, 8 Nd 3.67-3.68
Nd  0.0000  0.5000  0.9009  2 Tb 3.65, 8 Nd 3.65-3.67, 2 Pm 3.67
Nd  0.5000  0.0000  0.0991  2 Tb 3.65, 8 Nd 3.65-3.67, 2 Pm 3.67
Nd  0.5000  0.0000  0.2995  4 Pm 3.67, 8 Nd 3.67-3.68
Nd  0.5000  0.0000  0.5000  8 Nd 3.67, 4 Pm 3.67
Nd  0.5000  0.0000  0.7005  4 Pm 3.67, 8 Nd 3.67-3.68
Nd  0.5000  0.0000  0.9009  2 Tb 3.65, 8 Nd 3.65-3.67, 2 Pm 3.67
Nd  0.5000  0.5000  0.0000  8 Nd 3.65, 4 Tb 3.67
Nd  0.5000  0.5000  0.1991  8 Nd 3.67-3.68, 4 Pm 3.67
Nd  0.5000  0.5000  0.3998  8 Nd 3.67, 4 Pm 3.67
Nd  0.5000  0.5000  0.6002  8 Nd 3.67, 4 Pm 3.67
Nd  0.5000  0.5000  0.8009  8 Nd 3.67-3.68, 4 Pm 3.67